Entry 1:
## Ca2YMn (PBE-GGA)

Data for an optimized crystal structure of Ca2YMn.

Cell: 3.686 3.686 9.004 Å, 90.00 90.00 90.00°
Each line ends with the local moment (μB).
Positions (direct):
Ca: 0.000 0.000 0.047  -0.04
Ca: 0.000 0.000 0.453  -0.04
Mn: 0.500 0.500 0.250  3.75
Y: 0.500 0.500 0.750  0.23

Formation energy ... 1.399 eV per formula unit
Space group ... P4/mmm, No. 123
Total magnetization ... 4.10 Bohr magnetons per cell
E above lowest polymorph ... 174 meV/atom

=====

Entry 2:
## CrBi3W (PBE-GGA)

Data for an optimized crystal structure of CrBi3W.

Cell: 5.201 5.201 5.201 Å, 90.00 90.00 90.00°
Each line ends with the local moment (μB).
Positions (direct):
Bi: 0.000 0.500 0.000  -0.13
Bi: 0.500 0.000 0.000  -0.23
Bi: 0.000 0.000 0.500  -0.09
W: 0.500 0.500 0.500  2.95
Cr: 0.000 0.000 0.000  2.47

Formation energy ... 7.054 eV per formula unit
Space group ... Pm-3m, No. 221
Total magnetization ... 6.13 Bohr magnetons per cell
E above lowest polymorph ... 279 meV/atom

=====

Entry 3:
## Nd5Sm6Mg2 (PBE-GGA)

Data for an optimized crystal structure of Nd5Sm6Mg2.

Cell: 3.587 10.659 22.943 Å, 90.00 90.00 90.00°
Positions (direct):
Nd: 0.500 0.417 0.749
Nd: 0.500 0.832 0.005
Nd: 0.500 0.500 0.000
Nd: 0.500 0.332 0.495
Nd: 0.500 0.083 0.249
Nd: 0.500 0.917 0.751
Nd: 0.500 0.000 0.500
Nd: 0.500 0.168 0.995
Nd: 0.500 0.583 0.251
Nd: 0.500 0.668 0.505
Sm: 0.500 0.168 0.635
Sm: 0.000 0.146 0.382
Sm: 0.000 0.518 0.386
Sm: 0.000 0.982 0.886
Sm: 0.000 0.482 0.614
Sm: 0.000 0.354 0.882
Sm: 0.000 0.646 0.118
Sm: 0.000 0.018 0.114
Sm: 0.000 0.854 0.618
Sm: 0.500 0.668 0.865
Sm: 0.500 0.332 0.135
Sm: 0.500 0.832 0.365
Mg: 0.000 0.833 0.239
Mg: 0.000 0.667 0.739
Mg: 0.000 0.333 0.261
Mg: 0.000 0.167 0.761

Formation energy ... 1.564 eV per formula unit
Space group ... Pbam, No. 55
Total magnetization ... 0.00 Bohr magnetons per cell

=====

Entry 4:
## Zn3Ga2Cu4 (PBE-GGA)

Data for an optimized crystal structure of Zn3Ga2Cu4.

Cell: 4.160 4.182 8.834 Å, 103.54 90.00 119.82°
Positions (direct):
Cu: 0.294 0.588 0.886
Cu: 0.102 0.204 0.297
Cu: 0.706 0.412 0.114
Cu: 0.898 0.796 0.703
Zn: 0.401 0.803 0.198
Zn: 0.599 0.197 0.802
Zn: 0.000 0.000 0.000
Ga: 0.193 0.386 0.588
Ga: 0.807 0.614 0.412

Formation energy ... -0.740 eV per formula unit
Space group ... C2/m, No. 12
Total magnetization ... 0.00 Bohr magnetons per cell
E above lowest polymorph ... 0 meV/atom

=====

Entry 5:
## TaTi2N (PBE-GGA)

Data for an optimized crystal structure of TaTi2N.

Cell: 2.720 2.720 7.285 Å, 90.00 90.00 90.00°
Positions (direct):
Ti: 0.000 0.000 0.827
Ti: 0.000 0.000 0.173
N: 0.500 0.500 0.000
Ta: 0.500 0.500 0.500

Formation energy without anion corrections ... -0.361 eV per atom
Space group ... P4/mmm, No. 123
Total magnetization ... 0.00 Bohr magnetons per cell

=====

Entry 6:
## AlBMo2S (PBE-GGA)

Data for an optimized crystal structure of AlBMo2S.

Cell: 4.379 3.788 4.379 Å, 90.00 90.00 90.00°
Positions (direct):
B: 0.000 0.000 0.000
Al: 0.500 0.500 0.500
Mo: 0.500 0.000 0.000
Mo: 0.000 0.000 0.500
S: 0.000 0.500 0.000

Formation energy without anion corrections ... 0.649 eV per atom
Space group ... P4/mmm, No. 123
Total magnetization ... 0.00 Bohr magnetons per cell

=====

Entry 7:
## Sm8Sb2Pt3 (PBE-GGA)

Data for an optimized crystal structure of Sm8Sb2Pt3.

Cell: 7.068 8.224 9.003 Å, 117.18 104.60 90.00°
Positions (direct):
Sm: 0.907 0.100 0.201
Sm: 0.402 0.862 0.216
Sm: 0.131 0.408 0.816
Sm: 0.869 0.592 0.184
Sm: 0.598 0.138 0.784
Sm: 0.093 0.900 0.799
Sm: 0.402 0.354 0.216
Sm: 0.598 0.646 0.784
Sb: 0.335 0.254 0.508
Sb: 0.665 0.746 0.492
Pt: 0.500 0.000 0.000
Pt: 0.000 0.254 0.000
Pt: 0.000 0.746 0.000

Formation energy without anion corrections ... -0.764 eV per atom
Space group ... C2/m, No. 12
Total magnetization ... 0.00 Bohr magnetons per cell

=====

Entry 8:
## Sm8Y2Tm3 (PBE-GGA)

Data for an optimized crystal structure of Sm8Y2Tm3.

Cell: 5.655 7.679 10.869 Å, 110.69 90.02 90.00°
Positions (direct):
Y: 0.501 0.760 0.520
Y: 0.499 0.240 0.480
Sm: 0.001 0.669 0.338
Sm: 0.500 0.188 0.789
Sm: 0.000 0.130 0.260
Sm: 0.500 0.812 0.211
Sm: 0.500 0.601 0.789
Sm: 0.000 0.870 0.740
Sm: 0.500 0.399 0.211
Sm: 0.999 0.331 0.662
Tm: 0.500 0.000 0.000
Tm: 0.000 0.714 0.000
Tm: 0.000 0.286 0.000

Formation energy ... 2.731 eV per formula unit
Space group ... C2/m, No. 12
Total magnetization ... 0.00 Bohr magnetons per cell